K2Ga2Sb2Se (PBE, optimized geometry); SG = P-1; Fermi-level density of states = 2.2 states/eV per cell; E_form (uncorrected) = -0.385 eV per atom; E = -3.239 eV/atom
1.0
-3.338 0.170 -2.490
-4.660 -4.273 2.575
-3.931 4.145 5.703
Ga Sb K Se
2 2 2 1
direct
0.803 0.412 0.887 Ga
0.197 0.588 0.113 Ga
0.779 0.435 0.388 Sb
0.221 0.565 0.612 Sb
0.503 0.005 0.287 K
0.497 0.995 0.713 K
0.000 0.000 0.000 Se



K2GaSbSe4 (PBE, optimized geometry); SG = Pmn2_1; Fermi-level density of states = 0.0 states/eV per cell; E_form (uncorrected) = -0.741 eV per atom; E = -3.651 eV/atom
1.0
-1.913 5.760 -2.799
-7.059 -4.030 -3.469
-5.133 2.154 7.942
Sb Ga Se K
2 2 8 4
direct
0.984 0.180 0.500 Sb
0.484 0.820 0.000 Sb
0.494 0.858 0.500 Ga
0.994 0.142 0.000 Ga
0.868 0.879 0.000 Se
0.442 0.714 0.290 Se
0.442 0.714 0.710 Se
0.865 0.905 0.500 Se
0.942 0.286 0.210 Se
0.365 0.095 0.000 Se
0.942 0.286 0.790 Se
0.368 0.121 0.500 Se
0.953 0.663 0.741 K
0.953 0.663 0.259 K
0.453 0.337 0.241 K
0.453 0.337 0.759 K



KGaSnSb3 (PBE, optimized geometry); SG = P2_1/m; Fermi-level density of states = 4.4 states/eV per cell; E_form (uncorrected) = -0.144 eV per atom; E = -3.560 eV/atom
1.0
-0.004 -3.462 -2.496
2.449 -6.191 8.582
-8.756 -0.196 0.285
Sb Ga K Sn
6 2 2 2
direct
0.750 0.167 0.560 Sb
0.750 0.914 0.022 Sb
0.250 0.833 0.440 Sb
0.250 0.435 0.765 Sb
0.750 0.565 0.235 Sb
0.250 0.086 0.978 Sb
0.250 0.049 0.664 Ga
0.750 0.951 0.336 Ga
0.750 0.679 0.670 K
0.250 0.321 0.330 K
0.750 0.352 0.951 Sn
0.250 0.648 0.049 Sn